No. 1
First-principles (PBE-GGA) data for crystalline Tm5NiSb2 at its relaxed geometry, as listed in the Alexandria database. Values from VASP.

Cell and atoms, written as Quantum ESPRESSO input:
```
&SYSTEM
  ibrav = 0, nat = 16, ntyp = 3
/
ATOMIC_SPECIES
Ni 58.69 Ni.upf
Tm 168.93 Tm.upf
Sb 121.76 Sb.upf
CELL_PARAMETERS angstrom
4.3903 0.0000 0.0000
0.0000 7.8325 0.0000
0.0000 0.0000 11.9683
ATOMIC_POSITIONS crystal
Ni 0.0000 0.0000 0.0000
Tm 0.5000 0.1803 0.0644
Tm 0.0000 0.1413 0.8015
Ni 0.0000 0.5000 0.5000
Tm 0.5000 0.3197 0.5644
Tm 0.5000 0.8197 0.9356
Sb 0.5000 0.0697 0.3272
Tm 0.0000 0.0000 0.5000
Sb 0.5000 0.5697 0.1728
Sb 0.5000 0.4303 0.8272
Sb 0.5000 0.9303 0.6728
Tm 0.5000 0.6803 0.4356
Tm 0.0000 0.5000 0.0000
Tm 0.0000 0.3587 0.3015
Tm 0.0000 0.6413 0.6985
Tm 0.0000 0.8587 0.1985
```

Values from the calculation:
Magnetic moment (μB/f.u.): 0.00

No. 2
First-principles (PBE-GGA) data for crystalline Ca2TbPd9 at its relaxed geometry, as listed in the Alexandria database. Values from VASP.

Cell and atoms, written as Quantum ESPRESSO input:
```
&SYSTEM
  ibrav = 0, nat = 12, ntyp = 3
/
ATOMIC_SPECIES
Pd 106.42 Pd.upf
Tb 158.93 Tb.upf
Ca 40.08 Ca.upf
CELL_PARAMETERS angstrom
4.1392 0.0000 0.0000
0.0000 4.1392 0.0000
0.0000 0.0000 12.3509
ATOMIC_POSITIONS crystal
Pd 0.0000 0.5000 0.8355
Tb 0.0000 0.0000 0.0000
Pd 0.5000 0.0000 0.8355
Ca 0.0000 0.0000 0.3335
Pd 0.5000 0.5000 0.3331
Pd 0.5000 0.0000 0.5000
Pd 0.5000 0.0000 0.1645
Pd 0.0000 0.5000 0.5000
Pd 0.5000 0.5000 0.6669
Pd 0.0000 0.5000 0.1645
Pd 0.5000 0.5000 0.0000
Ca 0.0000 0.0000 0.6665
```

Values from the calculation:
Magnetic moment (μB/f.u.): 0.00
E_form (eV per formula unit): -7.488

No. 3
First-principles (PBE-GGA) data for crystalline Sr2ClO2 at its relaxed geometry, as listed in the Alexandria database. Values from VASP.

Cell and atoms, written as Quantum ESPRESSO input:
```
&SYSTEM
  ibrav = 0, nat = 10, ntyp = 3
/
ATOMIC_SPECIES
Sr 87.62 Sr.upf
O 16.00 O.upf
Cl 35.45 Cl.upf
CELL_PARAMETERS angstrom
-1.3268 0.0713 -3.9995
6.6415 -0.2834 -2.2083
-2.2563 -7.1975 2.8407
ATOMIC_POSITIONS crystal
Sr 0.8955 0.2047 0.2916
O 0.0608 0.4242 0.6221
Sr 0.1045 0.7953 0.7084
Sr 0.6040 0.2953 0.7084
Cl 0.7502 0.7500 0.0000
O 0.9392 0.5758 0.3779
O 0.4386 0.0758 0.3779
Sr 0.3960 0.7047 0.2916
Cl 0.2498 0.2500 0.0000
O 0.5614 0.9242 0.6221
```

Values from the calculation:
Magnetic moment (μB/f.u.): 1.01
ΔE to the lowest computed polymorph (meV per atom): 0.0

No. 4
First-principles (PBE-GGA) data for crystalline AgP2 at its relaxed geometry, as listed in the Alexandria database. Values from VASP.

Cell and atoms, written as Quantum ESPRESSO input:
```
&SYSTEM
  ibrav = 0, nat = 3, ntyp = 2
/
ATOMIC_SPECIES
Ag 107.87 Ag.upf
P 30.97 P.upf
CELL_PARAMETERS angstrom
-0.4761 -0.3576 4.0307
3.5285 -1.0649 -1.7370
1.3071 3.5636 0.4705
ATOMIC_POSITIONS crystal
Ag 0.0000 0.0000 0.0000
P 0.6667 0.3333 0.5000
P 0.3333 0.6667 0.5000
```

Values from the calculation:
Magnetic moment (μB/f.u.): 0.00
E_form (eV per formula unit): 1.786
ΔE to the lowest computed polymorph (meV per atom): 596.1

No. 5
First-principles (PBE-GGA) data for crystalline HgBRh3 at its relaxed geometry, as listed in the Alexandria database. Values from VASP.

Cell and atoms, written as Quantum ESPRESSO input:
```
&SYSTEM
  ibrav = 0, nat = 10, ntyp = 3
/
ATOMIC_SPECIES
Hg 200.59 Hg.upf
Rh 102.91 Rh.upf
B 10.81 B.upf
CELL_PARAMETERS angstrom
-3.9700 -3.9940 0.4367
-2.9412 -1.5689 -4.5599
1.9088 -5.8067 0.7724
ATOMIC_POSITIONS crystal
Hg 0.9003 0.5046 0.4590
Hg 0.5261 0.6918 0.0201
Rh 0.0319 0.1836 0.0058
Rh 0.3945 0.0128 0.4733
Rh 0.3947 0.5016 0.4732
Rh 0.0317 0.6949 0.0059
Rh 0.5428 0.1836 0.0058
Rh 0.8835 0.0128 0.4733
B 0.3755 0.2671 0.7461
B 0.0509 0.9294 0.7330
```

Values from the calculation:
Magnetic moment (μB/f.u.): 0.00
E_form (eV per formula unit): -0.490
ΔE to the lowest computed polymorph (meV per atom): 0.0

No. 6
First-principles (PBE-GGA) data for crystalline DyEr2Pb at its relaxed geometry, as listed in the Alexandria database. Values from VASP.

Cell and atoms, written as Quantum ESPRESSO input:
```
&SYSTEM
  ibrav = 0, nat = 4, ntyp = 3
/
ATOMIC_SPECIES
Pb 207.20 Pb.upf
Er 167.26 Er.upf
Dy 162.50 Dy.upf
CELL_PARAMETERS angstrom
-3.4184 1.0301 0.5856
-0.0333 -1.8708 3.0965
2.9892 7.3699 4.4848
ATOMIC_POSITIONS crystal
Pb 0.5000 0.5000 0.0000
Er 0.0000 0.0000 0.2359
Er 0.0000 0.0000 0.7641
Dy 0.5000 0.5000 0.5000
```

Values from the calculation:
Magnetic moment (μB/f.u.): 0.00
E_form (eV per formula unit): -0.817
ΔE to the lowest computed polymorph (meV per atom): 79.0

No. 7
First-principles (PBE-GGA) data for crystalline RbScSn at its relaxed geometry, as listed in the Alexandria database. Values from VASP.

Cell and atoms, written as Quantum ESPRESSO input:
```
&SYSTEM
  ibrav = 0, nat = 3, ntyp = 3
/
ATOMIC_SPECIES
Rb 85.47 Rb.upf
Sc 44.96 Sc.upf
Sn 118.71 Sn.upf
CELL_PARAMETERS angstrom
-2.6021 -3.8223 2.8808
-5.0804 0.8960 1.7512
-4.1659 -2.7197 -2.2200
ATOMIC_POSITIONS crystal
Rb 0.2500 0.2500 0.2500
Sc 0.7500 0.7500 0.7500
Sn 0.5000 0.5000 0.5000
```

Values from the calculation:
Magnetic moment (μB/f.u.): 0.00
E_form (eV per formula unit): 0.767
ΔE to the lowest computed polymorph (meV per atom): 604.4

No. 8
First-principles (PBE-GGA) data for crystalline Ba2Li5In12 at its relaxed geometry, as listed in the Alexandria database. Values from VASP.

Cell and atoms, written as Quantum ESPRESSO input:
```
&SYSTEM
  ibrav = 0, nat = 19, ntyp = 3
/
ATOMIC_SPECIES
In 114.82 In.upf
Li 6.94 Li.upf
Ba 137.33 Ba.upf
CELL_PARAMETERS angstrom
-1.4823 7.7819 -0.0982
-2.8121 0.5303 -7.3875
-7.7321 -0.2923 1.7013
ATOMIC_POSITIONS crystal
In 0.2852 0.7148 0.0000
In 0.6512 0.1362 0.6512
In 0.2852 0.0000 0.7148
Li 0.5000 0.0000 0.0000
In 0.1362 0.6512 0.6512
In 0.3488 0.8638 0.3488
In 0.7148 0.0000 0.2852
In 0.7148 0.2852 0.0000
Ba 0.3425 0.3425 0.3425
Li 0.0000 0.0000 0.5000
In 0.8638 0.3488 0.3488
In 0.0000 0.2852 0.7148
Li 0.0000 0.5000 0.0000
In 0.0000 0.7148 0.2852
Li 0.0995 0.0995 0.0995
In 0.3488 0.3488 0.8638
Li 0.9005 0.9005 0.9005
In 0.6512 0.6512 0.1362
Ba 0.6575 0.6575 0.6575
```

Values from the calculation:
Magnetic moment (μB/f.u.): 0.00
E_form (eV per formula unit): -5.698

Number 1: raw total energy -5.249 eV per atom. Number 2: raw total energy -5.238 eV per atom. Number 3: raw total energy -5.357 eV per atom. Number 4: raw total energy -3.962 eV per atom. Number 5: raw total energy -5.905 eV per atom. Number 6: raw total energy -4.563 eV per atom. Number 7: raw total energy -3.512 eV per atom. Number 8: raw total energy -2.735 eV per atom.